The following is a DFT calculation (PBE) of a relaxed structure of AcCu3Ge.

Unit cell a=6.633 b=6.633 c=6.633 alpha=90.00 beta=120.00 gamma=120.00
Positions (direct):
Ac (0.000, 0.250, 0.250)
Ac (0.000, 0.750, 0.750)
Cu (0.500, 0.250, 0.250)
Cu (0.500, 0.750, 0.250)
Cu (0.000, 0.750, 0.250)
Cu (0.500, 0.250, 0.750)
Cu (0.000, 0.250, 0.750)
Cu (0.500, 0.750, 0.750)
Ge (0.500, 0.500, 0.000)
Ge (0.500, 0.000, 0.500)

magnetic moment: 0.000 μB/cell
formation energy from the elements: 0.00 eV per atom
symmetry: Pm-3m (221)
excess energy over the best structure of this formula in the dataset: 153.1 meV/atom
final energy: -4.20 eV/atom

The following is a DFT calculation (PBE) of a relaxed structure of Ac4CuGe3.

Unit cell a=4.637 b=4.340 c=11.882 alpha=90.00 beta=90.00 gamma=90.00
Positions (direct):
Ac (0.000, 0.500, 0.864)
Ac (0.000, 0.000, 0.139)
Ac (0.500, 0.500, 0.359)
Ac (0.500, 0.000, 0.642)
Ge (0.500, 0.000, 0.934)
Ge (0.000, 0.000, 0.429)
Ge (0.000, 0.500, 0.574)
Cu (0.500, 0.500, 0.059)

magnetic moment: 0.263 μB/cell
formation energy from the elements: -0.56 eV per atom
symmetry: Pmm2 (25)
final energy: -4.86 eV/atom

The following is a DFT calculation (PBE) of a relaxed structure of AcCu3Ge.

Unit cell a=5.757 b=6.012 c=6.028 alpha=89.99 beta=90.00 gamma=90.06
Positions (direct):
Cu (0.429, 0.817, 0.995)
Cu (0.928, 0.536, 0.907)
Cu (0.441, 0.174, 0.201)
Cu (0.929, 0.536, 0.495)
Cu (0.941, 0.178, 0.701)
Cu (0.429, 0.817, 0.407)
Ac (0.935, 0.998, 0.201)
Ac (0.435, 0.355, 0.701)
Ge (0.145, 0.833, 0.701)
Ge (0.645, 0.520, 0.201)

magnetic moment: 0.000 μB/cell
formation energy from the elements: -0.15 eV per atom
symmetry: Pm (6)
excess energy over the best structure of this formula in the dataset: 0.0 meV/atom
final energy: -4.35 eV/atom

The following is a DFT calculation (PBE) of a relaxed structure of AcCu4Ge3.

Unit cell a=4.299 b=4.299 c=7.769 alpha=90.00 beta=90.00 gamma=90.00
Positions (direct):
Ge (0.000, 0.000, 0.000)
Ge (0.500, 0.500, 0.668)
Ge (0.500, 0.500, 0.332)
Ac (0.000, 0.000, 0.500)
Cu (0.500, 0.000, 0.169)
Cu (0.500, 0.000, 0.831)
Cu (0.000, 0.500, 0.831)
Cu (0.000, 0.500, 0.169)

magnetic moment: 0.000 μB/cell
formation energy from the elements: -0.26 eV per atom
symmetry: P4/mmm (123)
final energy: -4.55 eV/atom

The following is a DFT calculation (PBE) of a relaxed structure of Ac3CuGe2.

Unit cell a=6.503 b=9.030 c=7.896 alpha=106.30 beta=114.32 gamma=90.00
Positions (direct):
Ge (0.649, 0.084, 0.324)
Ge (0.325, 0.416, 0.676)
Ge (0.351, 0.916, 0.676)
Ge (0.675, 0.584, 0.324)
Ac (0.834, 0.916, 0.652)
Ac (0.166, 0.084, 0.348)
Ac (0.818, 0.416, 0.652)
Ac (0.434, 0.750, 0.000)
Ac (0.182, 0.584, 0.348)
Ac (0.566, 0.250, 0.000)
Cu (0.073, 0.250, 0.000)
Cu (0.927, 0.750, 0.000)

magnetic moment: 0.000 μB/cell
formation energy from the elements: -0.39 eV per atom
symmetry: C2/c (15)
excess energy over the best structure of this formula in the dataset: 181.0 meV/atom
final energy: -4.66 eV/atom

The following is a DFT calculation (PBE) of a relaxed structure of AcCu6Ge2.

Unit cell a=4.298 b=4.298 c=7.940 alpha=90.00 beta=90.00 gamma=90.00
Positions (direct):
Ge (0.500, 0.500, 0.830)
Ge (0.500, 0.500, 0.170)
Cu (0.000, 0.500, 0.670)
Cu (0.000, 0.500, 0.330)
Cu (0.000, 0.000, 0.500)
Cu (0.500, 0.500, 0.500)
Cu (0.500, 0.000, 0.330)
Cu (0.500, 0.000, 0.670)
Ac (0.000, 0.000, 0.000)

magnetic moment: 0.000 μB/cell
formation energy from the elements: -0.22 eV per atom
symmetry: P4/mmm (123)
final energy: -4.44 eV/atom

The following is a DFT calculation (PBE) of a relaxed structure of AcCu2Ge.

Unit cell a=4.247 b=4.247 c=5.864 alpha=68.77 beta=68.77 gamma=60.00
Positions (direct):
Cu (0.800, 0.800, 0.599)
Cu (0.200, 0.200, 0.401)
Ac (0.000, 0.000, 0.000)
Ge (0.500, 0.500, 0.500)

magnetic moment: 0.000 μB/cell
formation energy from the elements: -0.33 eV per atom
symmetry: R-3m (166)
final energy: -4.56 eV/atom

The following is a DFT calculation (PBE) of a relaxed structure of Ac3CuGe2.

Unit cell a=4.504 b=12.645 c=12.541 alpha=90.00 beta=90.00 gamma=90.00
Positions (direct):
Cu (0.250, 0.363, 0.630)
Cu (0.250, 0.137, 0.130)
Cu (0.750, 0.637, 0.370)
Cu (0.750, 0.863, 0.870)
Ac (0.750, 0.199, 0.293)
Ac (0.750, 0.556, 0.617)
Ac (0.250, 0.122, 0.564)
Ac (0.750, 0.622, 0.936)
Ac (0.250, 0.056, 0.883)
Ac (0.750, 0.944, 0.117)
Ac (0.250, 0.444, 0.383)
Ac (0.250, 0.801, 0.707)
Ac (0.250, 0.378, 0.064)
Ac (0.250, 0.699, 0.207)
Ac (0.750, 0.301, 0.793)
Ac (0.750, 0.878, 0.436)
Ge (0.250, 0.814, 0.971)
Ge (0.750, 0.314, 0.529)
Ge (0.250, 0.491, 0.802)
Ge (0.750, 0.509, 0.198)
Ge (0.250, 0.009, 0.302)
Ge (0.750, 0.186, 0.029)
Ge (0.750, 0.991, 0.698)
Ge (0.250, 0.686, 0.471)

magnetic moment: 0.000 μB/cell
formation energy from the elements: -0.57 eV per atom
symmetry: Pnma (62)
excess energy over the best structure of this formula in the dataset: 0.0 meV/atom
final energy: -4.84 eV/atom

The following is a DFT calculation (PBE) of a relaxed structure of Ac3Cu2Ge4.

Unit cell a=4.355 b=6.280 c=8.730 alpha=97.68 beta=90.00 gamma=110.29
Positions (direct):
Ac (0.339, 0.677, 0.334)
Ac (0.000, 0.000, 0.000)
Ac (0.661, 0.323, 0.666)
Ge (0.285, 0.569, 0.937)
Ge (0.938, 0.877, 0.615)
Ge (0.715, 0.431, 0.063)
Ge (0.062, 0.123, 0.385)
Cu (0.609, 0.219, 0.283)
Cu (0.391, 0.781, 0.717)

magnetic moment: 0.000 μB/cell
formation energy from the elements: -0.67 eV per atom
symmetry: C2/m (12)
excess energy over the best structure of this formula in the dataset: 0.0 meV/atom
final energy: -5.00 eV/atom

The following is a DFT calculation (PBE) of a relaxed structure of Ac2CuGe.

Unit cell a=4.393 b=6.430 c=8.892 alpha=110.98 beta=90.00 gamma=90.00
Positions (direct):
Ac (0.750, 0.228, 0.948)
Ac (0.250, 0.786, 0.590)
Ac (0.750, 0.214, 0.410)
Ac (0.250, 0.772, 0.052)
Ge (0.250, 0.340, 0.706)
Ge (0.750, 0.660, 0.294)
Cu (0.750, 0.583, 0.770)
Cu (0.250, 0.417, 0.230)

magnetic moment: 0.000 μB/cell
formation energy from the elements: -0.44 eV per atom
symmetry: P2_1/m (11)
excess energy over the best structure of this formula in the dataset: 0.0 meV/atom
final energy: -4.67 eV/atom

The following is a DFT calculation (PBE) of a relaxed structure of AcCu3Ge2.

Unit cell a=4.186 b=6.750 c=8.553 alpha=90.90 beta=104.16 gamma=90.00
Positions (direct):
Ge (0.450, 0.154, 0.901)
Ge (0.250, 0.718, 0.501)
Ge (0.550, 0.846, 0.099)
Ge (0.750, 0.282, 0.499)
Cu (0.326, 0.414, 0.651)
Cu (0.702, 0.941, 0.403)
Cu (0.674, 0.586, 0.349)
Cu (0.298, 0.059, 0.597)
Cu (0.107, 0.756, 0.215)
Cu (0.893, 0.244, 0.785)
Ac (0.100, 0.251, 0.200)
Ac (0.900, 0.749, 0.800)

magnetic moment: 0.000 μB/cell
formation energy from the elements: -0.28 eV per atom
symmetry: C2/m (12)
excess energy over the best structure of this formula in the dataset: 77.1 meV/atom
final energy: -4.56 eV/atom

The following is a DFT calculation (PBE) of a relaxed structure of Ac5Cu2Ge5.

Unit cell a=4.385 b=8.372 c=12.596 alpha=130.37 beta=90.00 gamma=105.18
Positions (direct):
Cu (0.855, 0.711, 0.240)
Cu (0.145, 0.289, 0.760)
Ac (0.500, 0.000, 0.500)
Ac (0.307, 0.614, 0.684)
Ac (0.693, 0.386, 0.316)
Ac (0.604, 0.208, 0.918)
Ac (0.396, 0.792, 0.082)
Ge (0.250, 0.499, 0.176)
Ge (0.938, 0.875, 0.633)
Ge (0.750, 0.501, 0.824)
Ge (0.062, 0.125, 0.367)
Ge (0.000, 0.000, 0.000)

magnetic moment: 0.000 μB/cell
formation energy from the elements: -0.59 eV per atom
symmetry: C2/m (12)
final energy: -4.91 eV/atom

Repeat the tenth record exactly.
The following is a DFT calculation (PBE) of a relaxed structure of Ac2CuGe.

Unit cell a=4.393 b=6.430 c=8.892 alpha=110.98 beta=90.00 gamma=90.00
Positions (direct):
Ac (0.750, 0.228, 0.948)
Ac (0.250, 0.786, 0.590)
Ac (0.750, 0.214, 0.410)
Ac (0.250, 0.772, 0.052)
Ge (0.250, 0.340, 0.706)
Ge (0.750, 0.660, 0.294)
Cu (0.750, 0.583, 0.770)
Cu (0.250, 0.417, 0.230)

magnetic moment: 0.000 μB/cell
formation energy from the elements: -0.44 eV per atom
symmetry: P2_1/m (11)
excess energy over the best structure of this formula in the dataset: 0.0 meV/atom
final energy: -4.67 eV/atom